Record 1
Here is ErLu2Al after structural relaxation from the Alexandria database. Energies are from PBE.

Lattice parameters (Å, degrees): 4.6888 4.6696 4.6696 90.00 90.00 90.00
Last column: nearest neighbours and their distance in Å.
Positions (direct):
Lu: 0.0000 0.0000 0.5000  4 Lu 3.30, 4 Er 3.31, 4 Al 3.31
Lu: 0.0000 0.5000 0.0000  4 Lu 3.30, 4 Er 3.31, 4 Al 3.31
Al: 0.5000 0.5000 0.5000  4 Er 3.30, 8 Lu 3.31
Er: 0.5000 0.0000 0.0000  4 Al 3.30, 8 Lu 3.31

Computed properties:
* E above lowest polymorph: 2 meV/atom
* formation energy: -4.558 kcal/mol of atoms
* size of the total moment: 0.0000 μB/atom


Record 2
Here is Er3AgOs2 after structural relaxation from the Alexandria database. Energies are from PBE.

Lattice parameters (Å, degrees): 3.3864 3.3864 10.8362 90.00 90.00 90.00
Last column: nearest neighbours and their distance in Å.
Positions (direct):
Er: 0.0000 0.0000 0.0000  8 Os 2.97
Er: 0.0000 0.0000 0.6917  4 Os 2.87, 4 Ag 3.17
Er: 0.0000 0.0000 0.3083  4 Os 2.87, 4 Ag 3.17
Ag: 0.5000 0.5000 0.5000  8 Er 3.17, 4 Ag 3.39
Os: 0.5000 0.5000 0.8375  8 Er 2.87-2.97
Os: 0.5000 0.5000 0.1625  8 Er 2.87-2.97

Computed properties:
* formation energy: -6.884 kcal/mol of atoms
* size of the total moment: 0.0000 μB/atom


Record 3
Here is Ba4Na2Ga after structural relaxation from the Alexandria database. Energies are from PBE.

Lattice parameters (Å, degrees): 6.4334 6.4334 10.8815 107.19 107.19 90.00
Last column: nearest neighbours and their distance in Å.
Positions (direct):
Na: 0.6301 0.6301 0.2602  5 Ba 3.96-4.12
Na: 0.3699 0.3699 0.7398  5 Ba 3.96-4.12
Ba: 0.8305 0.8305 0.6610  1 Ga 3.35
Ba: 0.1695 0.1695 0.3390  1 Ga 3.35
Ba: 0.0000 0.5000 0.0000  2 Ga 3.22
Ba: 0.5000 0.0000 0.0000  2 Ga 3.22
Ga: 0.0000 0.0000 0.0000  6 Ba 3.22-3.35

Computed properties:
* formation energy: 0.271 kcal/mol of atoms
* size of the total moment: 0.1074 μB/atom


Record 4
Here is PrNdSm4 after structural relaxation from the Alexandria database. Energies are from PBE.

Lattice parameters (Å, degrees): 7.0805 7.0805 9.7678 90.00 90.00 121.12
Last column: nearest neighbours and their distance in Å.
Positions (direct):
Pr: 0.0000 0.0000 0.0000  2 Nd 3.31, 4 Sm 3.31
Pr: 0.0000 0.0000 0.5000  2 Nd 3.31, 4 Sm 3.31
Nd: 0.1807 0.8193 0.7500  2 Sm 3.14, 2 Pr 3.31
Nd: 0.8193 0.1807 0.2500  2 Sm 3.14, 2 Pr 3.31
Sm: 0.6570 0.3430 0.9263  3 Sm 3.44-3.62, 1 Nd 3.74
Sm: 0.3430 0.6570 0.4263  3 Sm 3.44-3.62, 1 Nd 3.74
Sm: 0.3430 0.6570 0.0737  3 Sm 3.44-3.62, 1 Nd 3.74
Sm: 0.6570 0.3430 0.5737  3 Sm 3.44-3.62, 1 Nd 3.74
Sm: 0.3679 0.1645 0.2500  1 Nd 3.14, 1 Sm 3.26, 2 Pr 3.31
Sm: 0.6321 0.8355 0.7500  1 Nd 3.14, 1 Sm 3.26, 2 Pr 3.31
Sm: 0.1645 0.3679 0.7500  1 Nd 3.14, 1 Sm 3.26, 2 Pr 3.31
Sm: 0.8355 0.6321 0.2500  1 Nd 3.14, 1 Sm 3.26, 2 Pr 3.31

Computed properties:
* E above lowest polymorph: 212 meV/atom
* formation energy: 5.207 kcal/mol of atoms
* size of the total moment: 0.0000 μB/atom